No. 1
# CaSiW2S

Crystalline CaSiW2S at its relaxed geometry (PBE, Alexandria).

Calculated values
space group = P4/mmm

```
data_CaSiW2S
_chemical_formula_sum 'Ca1 Si1 W2 S1'
_cell_length_a 4.612
_cell_length_b 5.062
_cell_length_c 4.612
_cell_angle_alpha 90.00
_cell_angle_beta 90.00
_cell_angle_gamma 90.00
_space_group_name_H-M_alt 'P 1'
_space_group_IT_number 1
_space_group_name_Hall 'P 1'
loop_
_atom_site_label
_atom_site_type_symbol
_atom_site_fract_x
_atom_site_fract_y
_atom_site_fract_z
Ca1 Ca 0.500 0.500 0.500
W1 W 0.500 0.000 0.000
W2 W 0.000 0.000 0.500
S1 S 0.000 0.500 0.000
Si1 Si 0.000 0.000 0.000
```



No. 2
# CaSm5S6

Crystalline CaSm5S6 at its relaxed geometry (PBE, Alexandria).

Calculated values
space group = C2/m

```
data_CaSm5S6
_chemical_formula_sum 'Ca1 Sm5 S6'
_cell_length_a 6.946
_cell_length_b 6.932
_cell_length_c 6.949
_cell_angle_alpha 60.08
_cell_angle_beta 80.45
_cell_angle_gamma 70.56
_space_group_name_H-M_alt 'P 1'
_space_group_IT_number 1
_space_group_name_Hall 'P 1'
loop_
_atom_site_label
_atom_site_type_symbol
_atom_site_fract_x
_atom_site_fract_y
_atom_site_fract_z
S1 S 0.751 0.083 0.330
S2 S 0.249 0.587 0.330
S3 S 0.247 0.247 0.000
Sm1 Sm 0.500 0.500 0.000
S4 S 0.753 0.753 0.000
Sm2 Sm 0.000 0.333 0.334
S5 S 0.249 0.917 0.670
Sm3 Sm 0.500 0.167 0.666
Sm4 Sm 0.000 0.667 0.666
Ca1 Ca 0.000 0.000 0.000
Sm5 Sm 0.500 0.833 0.334
S6 S 0.751 0.413 0.670
```



No. 3
# CaSm2S4

Crystalline CaSm2S4 at its relaxed geometry (PBE, Alexandria).

Calculated values
excess energy over the best structure of this formula in the dataset = 0 meV/atom
space group = I-42d

```
data_CaSm2S4
_chemical_formula_sum 'Ca2 Sm4 S8'
_cell_length_a 7.366
_cell_length_b 7.366
_cell_length_c 7.366
_cell_angle_alpha 109.62
_cell_angle_beta 109.62
_cell_angle_gamma 109.17
_space_group_name_H-M_alt 'P 1'
_space_group_IT_number 1
_space_group_name_Hall 'P 1'
loop_
_atom_site_label
_atom_site_type_symbol
_atom_site_fract_x
_atom_site_fract_y
_atom_site_fract_z
S1 S 0.767 0.515 0.895
S2 S 0.128 0.233 0.748
S3 S 0.130 0.735 0.752
Sm1 Sm 0.503 0.125 0.878
S4 S 0.622 0.870 0.605
S5 S 0.265 0.017 0.395
Sm2 Sm 0.875 0.753 0.378
S6 S 0.485 0.380 0.252
S7 S 0.983 0.378 0.248
S8 S 0.620 0.872 0.105
Ca1 Ca 0.000 0.000 0.000
Sm3 Sm 0.247 0.625 0.122
Ca2 Ca 0.750 0.250 0.500
Sm4 Sm 0.375 0.497 0.622
```



| no. | formation energy from raw total energies (eV per atom) | uncorrected energy (eV per atom) |
| --- | --- | --- |
| 1 | 1.127 | -6.364 |
| 2 | -2.035 | -6.232 |
| 3 | -2.080 | -6.073 |